Entry 1:
Below is a PBEsol-optimized structure of Ca2Mg2Cu, with properties calculated at the meta-GGA SCAN level.

abc: 4.2975 10.8674 10.7874
angles: 90.00 90.00 90.00
Last column: nearest neighbours and their distance in Å.
Space group Cmc2_1 (No. 36)
Unique sites:
Ca: 0.0000 0.0954 0.0000 (multiplicity 4)  3 Cu 3.05-3.27, 1 Mg 3.37
Ca: 0.0000 0.1928 0.6658 (multiplicity 4)  2 Cu 2.97, 5 Mg 3.21-3.31
Mg: 0.0000 0.1829 0.3626 (multiplicity 4)  2 Cu 2.74
Mg: 0.0000 0.4932 0.7571 (multiplicity 4)  2 Cu 2.81-3.03, 2 Mg 3.09
Cu: 0.0000 0.3960 0.9989 (multiplicity 4)  4 Mg 2.74-3.03, 4 Ca 2.97-3.05

E_form ... -0.08 eV per atom
V ... 504 Å³ per cell
Energy above the most stable polymorph in this dataset ... 4 meV/atom

***

Entry 2:
Below is a PBEsol-optimized structure of EuAlO3, with properties calculated at the meta-GGA SCAN level.

abc: 5.2637 7.4670 5.2707
angles: 90.00 90.00 90.00
Last column: nearest neighbours and their distance in Å.
Space group Pnma (No. 62)
Unique sites:
Eu: 0.0197 0.2500 0.0020 (multiplicity 4)  8 O 2.38-2.62
Al: 0.0000 0.0000 0.5000 (multiplicity 4)  6 O 1.89
O: 0.0068 0.7500 0.4498 (multiplicity 4)  2 Al 1.89
O: 0.2181 0.5257 0.7815 (multiplicity 8)  2 Al 1.89

Energy relative to the elements, uncorrected ... -3.26 eV/atom
V ... 207 Å³ per cell

***

Entry 3:
Below is a PBEsol-optimized structure of ScFeSi2, with properties calculated at the meta-GGA SCAN level.

abc: 3.7010 3.7091 8.1129
angles: 90.00 90.00 90.00
Last column: nearest neighbours and their distance in Å.
Space group Imm2 (No. 44)
Unique sites:
Sc: 0.0000 0.0000 0.0000 (multiplicity 2)  8 Si 2.62-2.75, 4 Fe 2.75
Fe: 0.0000 0.5000 0.2499 (multiplicity 2)  8 Si 2.62-2.75, 4 Sc 2.75
Si: 0.0000 0.0000 0.4990 (multiplicity 2)  4 Sc 2.62, 4 Si 2.74-2.75, 4 Fe 2.74-2.75
Si: 0.0000 0.5000 0.7500 (multiplicity 2)  4 Fe 2.62, 4 Si 2.74-2.75, 4 Sc 2.75

Energy relative to the elements, uncorrected ... -0.22 eV/atom
V ... 111 Å³ per cell